Record 1
CaNpSn2: optimized geometry, PBE-GGA.

Properties
N(E_F) in states/eV per cell: 8.3
Formation energy from the elements in eV/atom: 0.20
Spin magnetization in μB/cell: 4.748
Final energy in Ry/atom: -0.407

a = 3.3897 Å, b = 3.3897 Å, c = 11.9860 Å
α = 81.87°, β = 81.87°, γ = 60.00°
With the nearest neighbours (Å) after each atom.
Element x y z (fractional)
1 Np 0.5000 0.5000 0.5000  6 Sn 3.35, 6 Np 3.39
2 Ca 0.0000 0.0000 0.0000  2 Sn 3.19, 6 Ca 3.39
3 Sn 0.0899 0.0899 0.7302  1 Ca 3.19, 3 Np 3.35, 6 Sn 3.39
4 Sn 0.9101 0.9101 0.2698  1 Ca 3.19, 3 Np 3.35, 6 Sn 3.39

---

Record 2
SiSnAu2: optimized geometry, PBE-GGA.

Properties
N(E_F) in states/eV per cell: 0.9
ΔE to the lowest computed polymorph in meV per atom: 212.4
Spin magnetization in μB/cell: 0.000
E_form (uncorrected) in eV per atom: 0.21
Final energy in Ry/atom: -0.278

a = 4.8334 Å, b = 4.8334 Å, c = 4.8334 Å
α = 60.00°, β = 60.00°, γ = 60.00°
With the nearest neighbours (Å) after each atom.
Element x y z (fractional)
1 Si 0.0000 0.0000 0.0000  8 Au 2.96
2 Au 0.2500 0.2500 0.2500  4 Sn 2.96, 4 Si 2.96
3 Au 0.7500 0.7500 0.7500  4 Sn 2.96, 4 Si 2.96
4 Sn 0.5000 0.5000 0.5000  8 Au 2.96

---

Record 3
CrFePb2: optimized geometry, PBE-GGA.

Properties
N(E_F) in states/eV per cell: 3.9
Formation energy from the elements in eV/atom: 0.69
ΔE to the lowest computed polymorph in meV per atom: 233.8
Spin magnetization in μB/cell: 6.563
Final energy in Ry/atom: -0.418

a = 5.0931 Å, b = 5.0931 Å, c = 3.3421 Å
α = 84.75°, β = 84.75°, γ = 100.01°
With the nearest neighbours (Å) after each atom.
Element x y z (fractional)
1 Cr 0.5000 0.0000 0.5000  8 Pb 2.92-3.17
2 Fe 0.0000 0.5000 0.5000  8 Pb 2.92-3.17
3 Pb 0.0000 0.0000 0.0000  4 Fe 2.92-3.17, 4 Cr 2.92-3.17
4 Pb 0.5000 0.5000 0.0000  4 Cr 2.92-3.17, 4 Fe 2.92-3.17

---

Record 4
BaSc2NO: optimized geometry, PBE-GGA.

Properties
N(E_F) in states/eV per cell: 6.1
Spin magnetization in μB/cell: 0.000
E_form (uncorrected) in eV per atom: -0.90
Final energy in Ry/atom: -0.476

a = 4.1478 Å, b = 7.1760 Å, c = 4.1478 Å
α = 90.00°, β = 90.00°, γ = 90.00°
With the nearest neighbours (Å) after each atom.
Element x y z (fractional)
1 Sc 0.0000 0.0000 0.5000  2 N 2.07
2 Sc 0.5000 0.0000 0.0000  2 N 2.07
3 Ba 0.0000 0.5000 0.0000  4 O 2.93
4 O 0.5000 0.5000 0.5000  4 Ba 2.93
5 N 0.0000 0.0000 0.0000  4 Sc 2.07

---

Record 5
Mo2IrBr: optimized geometry, PBE-GGA.

Properties
N(E_F) in states/eV per cell: 4.1
ΔE to the lowest computed polymorph in meV per atom: 22.9
Spin magnetization in μB/cell: 0.000
E_form (uncorrected) in eV per atom: 0.41
Final energy in Ry/atom: -0.561

a = 8.9380 Å, b = 8.9380 Å, c = 8.9380 Å
α = 18.74°, β = 18.74°, γ = 18.74°
With the nearest neighbours (Å) after each atom.
Element x y z (fractional)
1 Mo 0.0005 0.0005 0.0005  3 Ir 2.75, 3 Br 2.77, 6 Mo 2.91
2 Mo 0.4995 0.4995 0.4995  3 Ir 2.75, 3 Br 2.77, 6 Mo 2.91
3 Ir 0.7500 0.7500 0.7500  6 Mo 2.75, 6 Ir 2.91
4 Br 0.2500 0.2500 0.2500  6 Mo 2.77, 6 Br 2.91

---

Which of these has the lowest N(E_F)?
SiSnAu2

---

What is the N(E_F) in the fifth record?
4.1 states/eV per cell

---

The lowest N(E_F) belongs to which entry?
SiSnAu2

---

What is the spin magnetization in the first record?
4.748 μB/cell